! BaLa2Tb PBE optimized geometry; values from VASP
! Space group: R-3m
! Distance to the lowest polymorph of the same formula, meV per atom: 10
&SYSTEM
  ibrav = 0, nat = 4, ntyp = 3
/
ATOMIC_SPECIES
Ba 137.33 Ba.upf
La 138.91 La.upf
Tb 158.93 Tb.upf
CELL_PARAMETERS angstrom
1.8997 1.0968 12.6853
-1.8997 1.0968 12.6853
0.0000 -2.1936 12.6853
ATOMIC_POSITIONS angstrom
Ba 0.0000 0.0000 0.0000
La 0.0000 0.0000 9.2091
La 0.0000 0.0000 28.8467
Tb 0.0000 0.0000 19.0279


! Hf7Rh2Au2 PBE optimized geometry; values from VASP
! Space group: Cmmm
&SYSTEM
  ibrav = 0, nat = 11, ntyp = 3
/
ATOMIC_SPECIES
Hf 178.49 Hf.upf
Rh 102.91 Rh.upf
Au 196.97 Au.upf
CELL_PARAMETERS angstrom
3.7035 -4.9817 0.0000
3.7035 4.9817 0.0000
0.0000 0.0000 6.5797
ATOMIC_POSITIONS angstrom
Hf 0.0000 0.0000 0.0000
Hf 1.8517 2.4909 1.7395
Hf 1.8517 2.4909 4.8401
Hf 1.8517 -2.4909 1.7395
Hf 1.8517 -2.4909 4.8401
Hf 3.7035 0.0000 1.6811
Hf 3.7035 0.0000 4.8986
Rh 3.7035 2.1491 0.0000
Rh 3.7035 -2.1491 0.0000
Au 1.3729 0.0000 3.2898
Au 6.0340 0.0000 3.2898


Computed values of M_tot (unit: μB per atom) for the preceding records, in sequence: 0.000; 0.000.
Computed values of DFT formation energy (unit: eV per atom) for the preceding records, in sequence: 0.11; -0.14.
Computed values of final energy (unit: eV/atom) for the preceding records, in sequence: -3.99; -8.41.